[1]
Material: Pm4Cd3Rh
Method: DFT, PBE-GGA
State: optimized geometry

The value obtained for the calculated total energy is -4.05 eV per atom. The density comes out at 8012 kg/m³.

The space group is P4/mmm (No. 123) and the conventional cell measures 3.702, 3.702 and 15.426 Å, with angles of 90.00, 90.00 and 90.00 degrees. Symmetry generates all atoms from Pm at (0.000, 0.000, 0.106), Pm at (0.000, 0.000, 0.370), Cd at (0.500, 0.500, 0.242), Cd at (0.500, 0.500, 0.500) and Rh at (0.500, 0.500, 0.000).

[2]
Material: Tb2AsSe
Method: DFT, PBE-GGA
State: optimized geometry

The value obtained for the calculated total energy is -6.07 eV per atom. For the distance to the lowest polymorph of the same formula, the calculation gives 2 meV/atom. The density comes out at 7901 kg/m³.

The space group is R-3m (No. 166, hexagonal axes) and the conventional cell measures 4.1149, 4.1149 and 20.2828 Å, with angles of 90.00, 90.00 and 120.00 degrees. Symmetry generates all atoms from Tb at (0.0000, 0.0000, 0.2459), As at (0.0000, 0.0000, 0.5000) and Se at (0.0000, 0.0000, 0.0000).

[3]
Material: SrAs3Se
Method: DFT, PBE-GGA
State: optimized geometry

The value obtained for the calculated total energy is -2.59 eV per atom. For the distance to the lowest polymorph of the same formula, the calculation gives 1168 meV/atom. The density comes out at 3572 kg/m³.

The space group is Pm-3m (No. 221) and the conventional cell measures 5.666, 5.666 and 5.666 Å, with angles of 90.00, 90.00 and 90.00 degrees. Symmetry generates all atoms from Sr at (0.000, 0.000, 0.000), As at (0.000, 0.000, 0.500) and Se at (0.500, 0.500, 0.500).

[4]
Material: Ge2HO2
Method: DFT, PBE-GGA
State: optimized geometry

The value obtained for the calculated total energy is -4.49 eV per atom. For the distance to the lowest polymorph of the same formula, the calculation gives 232 meV/atom. The density comes out at 4195 kg/m³.

The space group is I4/mmm (No. 139) and the conventional cell measures 4.129, 4.129 and 8.278 Å, with angles of 90.00, 90.00 and 90.00 degrees. Symmetry generates all atoms from Ge at (0.000, 0.500, 0.250), H at (0.000, 0.000, 0.000) and O at (0.000, 0.000, 0.323).

[5]
Material: Cs3Ca2CdBr9
Method: DFT, PBE-GGA
State: optimized geometry

The value obtained for the calculated total energy is -3.23 eV per atom. The density comes out at 3885 kg/m³.

The space group is P-3m1 (No. 164) and the conventional cell measures 8.0801, 8.0801 and 9.9066 Å, with angles of 90.00, 90.00 and 120.00 degrees. Symmetry generates all atoms from Cs at (0.0000, 0.0000, 0.0000), Cs at (0.3333, 0.6667, 0.6642), Ca at (0.3333, 0.6667, 0.1693), Cd at (0.0000, 0.0000, 0.5000), Br at (0.0000, 0.5000, 0.0000) and Br at (0.1639, 0.3277, 0.3367).

[6]
Material: Sc2Nb3Ge4
Method: DFT, PBE-GGA
State: optimized geometry

The value obtained for the calculated total energy is -7.54 eV per atom. For the distance to the lowest polymorph of the same formula, the calculation gives 0 meV/atom. The density comes out at 6797 kg/m³.

The space group is Pnma (No. 62) and the conventional cell measures 6.865, 13.334 and 7.038 Å, with angles of 90.00, 90.00 and 90.00 degrees. Symmetry generates all atoms from Sc at (0.008, 0.094, 0.177), Nb at (0.157, 0.626, 0.329), Nb at (0.167, 0.250, 0.511), Ge at (0.043, 0.250, 0.889), Ge at (0.183, 0.040, 0.534) and Ge at (0.191, 0.750, 0.649).

What did the fourth record say?
Material: Ge2HO2
Method: DFT, PBE-GGA
State: optimized geometry

The value obtained for the calculated total energy is -4.49 eV per atom. For the distance to the lowest polymorph of the same formula, the calculation gives 232 meV/atom. The density comes out at 4195 kg/m³.

The space group is I4/mmm (No. 139) and the conventional cell measures 4.129, 4.129 and 8.278 Å, with angles of 90.00, 90.00 and 90.00 degrees. Symmetry generates all atoms from Ge at (0.000, 0.500, 0.250), H at (0.000, 0.000, 0.000) and O at (0.000, 0.000, 0.323).

What did the sixth record say?
Material: Sc2Nb3Ge4
Method: DFT, PBE-GGA
State: optimized geometry

The value obtained for the calculated total energy is -7.54 eV per atom. For the distance to the lowest polymorph of the same formula, the calculation gives 0 meV/atom. The density comes out at 6797 kg/m³.

The space group is Pnma (No. 62) and the conventional cell measures 6.865, 13.334 and 7.038 Å, with angles of 90.00, 90.00 and 90.00 degrees. Symmetry generates all atoms from Sc at (0.008, 0.094, 0.177), Nb at (0.157, 0.626, 0.329), Nb at (0.167, 0.250, 0.511), Ge at (0.043, 0.250, 0.889), Ge at (0.183, 0.040, 0.534) and Ge at (0.191, 0.750, 0.649).

> The lowest calculated total energy belongs to which entry?

Sc2Nb3Ge4